PBE YBeIr2Rh, optimized geometry; SG = No. 123; formation energy from the elements = 0.2 eV per formula unit; volume = 80.9 Å³ per cell; E above lowest polymorph = 518.2 meV/atom; VASP energy = -35.1 eV for the cell shown
1.0
4.1485 0.0000 0.0000
0.0000 4.1485 0.0000
0.0000 0.0000 4.7027
Y Be Ir Rh
1 1 2 1
direct
0.0000 0.0000 0.0000 Y
0.0000 0.0000 0.5000 Be
0.0000 0.5000 0.5000 Ir
0.5000 0.0000 0.5000 Ir
0.5000 0.5000 0.0000 Rh

PBE Sc2MnNbN, optimized geometry; energy relative to the elements, uncorrected = 0.81 eV/atom; SG = No. 123; volume = 112.8 Å³ per cell; VASP energy = -36.2 eV for the cell shown
1.0
5.3287 0.0000 0.0000
0.0000 5.3287 0.0000
0.0000 0.0000 3.9715
Sc Mn Nb N
2 1 1 1
direct
0.0000 0.5000 0.0000 Sc
0.5000 0.0000 0.0000 Sc
0.0000 0.0000 0.5000 Mn
0.5000 0.5000 0.0000 Nb
0.5000 0.5000 0.5000 N

PBE Sr3NbIn, optimized geometry; SG = No. 221; formation energy from the elements = 4.2 eV per formula unit; volume = 242.7 Å³ per cell; E above lowest polymorph = 57.3 meV/atom; VASP energy = -13.6 eV for the cell shown
1.0
6.2374 0.0000 0.0000
0.0000 6.2374 0.0000
0.0000 0.0000 6.2374
Sr Nb In
3 1 1
direct
0.0000 0.0000 0.5000 Sr
0.0000 0.5000 0.0000 Sr
0.5000 0.0000 0.0000 Sr
0.5000 0.5000 0.5000 Nb
0.0000 0.0000 0.0000 In